(1)
TlRhSeN2 | PBE-GGA | relaxed

```
TlRhSeN2
1.0
4.158 0.000 0.000
0.000 4.158 0.000
0.000 0.000 5.981
Rh Tl N Se
1 1 2 1
direct
0.500 0.500 0.500
0.000 0.000 0.000
0.500 0.000 0.000
0.000 0.500 0.000
0.000 0.000 0.500
```

**Formation energy from raw total energies**: 2128 meV/atom
**Calculated total energy**: -19.21 eV per cell
**DOS(E_F)**: 0.89 states/eV per atom

=====

(2)
SrMg2ReN | PBE-GGA | relaxed

```
SrMg2ReN
1.0
4.332 0.000 0.000
0.000 5.146 0.000
0.000 0.000 4.332
N Mg Re Sr
1 2 1 1
direct
0.000 0.000 0.000
0.000 0.000 0.500
0.500 0.000 0.000
0.500 0.500 0.500
0.000 0.500 0.000
```

**Formation energy from raw total energies**: 551 meV/atom
**Calculated total energy**: -22.89 eV per cell
**DOS(E_F)**: 0.86 states/eV per atom

=====

(3)
TmU2As3 | PBE-GGA | relaxed

```
TmU2As3
1.0
5.764 -0.006 0.000
0.018 8.143 0.000
0.000 0.000 12.238
As U Tm
12 8 4
direct
0.749 0.376 0.417
0.251 0.128 0.582
0.251 0.124 0.917
0.751 0.374 0.750
0.749 0.876 0.083
0.249 0.126 0.250
0.251 0.624 0.583
0.749 0.872 0.418
0.751 0.874 0.750
0.249 0.626 0.250
0.251 0.628 0.918
0.749 0.372 0.082
0.749 0.625 0.250
0.749 0.125 0.250
0.751 0.624 0.917
0.251 0.375 0.750
0.249 0.876 0.417
0.251 0.875 0.750
0.751 0.124 0.583
0.249 0.376 0.083
0.751 0.124 0.916
0.249 0.376 0.416
0.249 0.876 0.084
0.751 0.624 0.584
```

**Energy of formation**: -94 kJ/mol of atoms
**Calculated total energy**: -187.38 eV per cell
**DOS(E_F)**: 2.03 states/eV per atom

=====

(4)
CrCoTe2 | PBE-GGA | relaxed

```
CrCoTe2
1.0
-3.714 1.332 0.015
-2.992 -2.495 -0.628
-2.595 -1.471 5.843
Co Te Cr
1 2 1
direct
0.750 0.750 0.750
0.008 0.008 0.978
0.492 0.492 0.522
0.250 0.250 0.250
```

**Formation energy from raw total energies**: 114 meV/atom
**Calculated total energy**: -22.56 eV per cell
**DOS(E_F)**: 0.65 states/eV per atom

=====

(5)
BaNaY2Ir | PBE-GGA | relaxed

```
BaNaY2Ir
1.0
-1.863 3.263 -3.973
-4.322 1.294 3.089
3.206 4.830 2.463
Y Na Ba Ir
2 1 1 1
direct
0.000 0.500 0.000
0.500 0.000 0.000
0.500 0.500 0.500
0.000 0.000 0.500
0.000 0.000 0.000
```

**Energy of formation**: -16 kJ/mol of atoms
**Calculated total energy**: -25.87 eV per cell
**DOS(E_F)**: 0.79 states/eV per atom

=====

(6)
Si2GeMoCl | PBE-GGA | relaxed

```
Si2GeMoCl
1.0
-1.996 0.493 4.223
4.229 -0.401 2.045
0.573 4.654 -0.273
Mo Ge Si Cl
1 1 2 1
direct
0.500 0.500 0.500
0.000 0.000 0.000
0.000 0.000 0.500
0.500 0.000 0.000
0.000 0.500 0.000
```

**Formation energy from raw total energies**: 1441 meV/atom
**Calculated total energy**: -20.94 eV per cell
**DOS(E_F)**: 1.30 states/eV per atom